Below is crystalline YTeWN2 at its relaxed geometry, with properties calculated at the PBE-GGA level.

POSCAR file:
```
YTeWN2
1.0
4.370 0.000 0.000
0.000 4.370 0.000
0.000 0.000 6.083
N W Y Te
2 1 1 1
direct
0.000 0.500 0.000
0.500 0.000 0.000
0.500 0.500 0.500
0.000 0.000 0.000
0.000 0.000 0.500
```

Relative energy among the computed polymorphs in meV/atom: 1571.1
Total energy in eV/atom: -6.319
Space-group type: P4/mmm (123)
Formation energy without anion corrections in eV/atom: 1.52
DOS(E_F) in states/eV/cell: 3.48
Total moment in μB/atom: 0.198

Below is crystalline VCdCoPb2 at its relaxed geometry, with properties calculated at the PBE-GGA level.

POSCAR file:
```
VCdCoPb2
1.0
-1.599 -3.094 -3.876
4.233 1.306 -2.788
2.615 -3.986 2.103
Pb Co Cd V
2 1 1 1
direct
0.500 0.000 0.000
0.000 0.000 0.500
0.500 0.500 0.500
0.000 0.500 0.000
0.000 0.000 0.000
```

Formation enthalpy at 0 K in eV per atom: 1.16
Total energy in eV/atom: -3.756
Space-group type: P4/mmm (123)
DOS(E_F) in states/eV/cell: 12.92
Total moment in μB/atom: 0.218

Below is crystalline KLa2Au at its relaxed geometry, with properties calculated at the PBE-GGA level.

POSCAR file:
```
KLa2Au
1.0
-4.131 5.139 -0.964
-6.376 -1.062 -1.620
4.445 -2.086 4.505
K La Au
1 2 1
direct
0.750 0.250 0.500
0.000 0.000 0.000
0.250 0.750 0.500
0.500 0.500 0.000
```

Formation enthalpy at 0 K in eV per atom: 0.12
Relative energy among the computed polymorphs in meV/atom: 333.5
Total energy in eV/atom: -3.436
Space-group type: I-4m2 (119)
DOS(E_F) in states/eV/cell: 4.81
Total moment in μB/atom: 0.000